No. 1
Crystalline KMn2Pt2 at its relaxed geometry. Source: Alexandria via LeMat-Bulk, functional PBE.

The structure in POSCAR format:
```
KMn2Pt2
1.0
-2.082 2.082 5.311
2.082 -2.082 5.311
2.082 2.082 -5.311
K Mn Pt
1 2 2
Direct
0.000 0.000 0.000
0.250 0.750 0.500
0.750 0.250 0.500
0.374 0.374 0.000
0.626 0.626 0.000
```

Output
Offset from the most stable computed form in meV per atom: 618
Total energy in eV/atom: -5.75
E_form in meV per atom: 551

No. 2
Crystalline KMnPt2 at its relaxed geometry. Source: Alexandria via LeMat-Bulk, functional PBE.

The structure in POSCAR format:
```
KMnPt2
1.0
4.313 0.000 0.000
0.000 4.313 0.000
0.000 0.000 4.004
K Mn Pt
1 1 2
Direct
0.000 0.000 0.000
0.500 0.500 0.000
0.000 0.500 0.500
0.500 0.000 0.500
```

Output
Total energy in eV/atom: -5.22
E_form in meV per atom: 366

No. 3
Crystalline KMnPt at its relaxed geometry. Source: Alexandria via LeMat-Bulk, functional PBE.

The structure in POSCAR format:
```
KMnPt
1.0
0.000 3.430 3.430
3.430 0.000 3.430
3.430 3.430 0.000
K Mn Pt
1 1 1
Direct
0.000 0.000 0.000
0.750 0.750 0.750
0.250 0.250 0.250
```

Output
Offset from the most stable computed form in meV per atom: 1295
Total energy in eV/atom: -4.15
E_form in meV per atom: 1290

No. 4
Crystalline KMnPt2 at its relaxed geometry. Source: Alexandria via LeMat-Bulk, functional PBE.

The structure in POSCAR format:
```
KMnPt2
1.0
-2.145 2.145 4.077
2.145 -2.145 4.077
2.145 2.145 -4.077
K Mn Pt
1 1 2
Direct
0.000 0.000 0.000
0.250 0.750 0.500
0.500 0.500 0.000
0.750 0.250 0.500
```

Output
Total energy in eV/atom: -5.16
E_form in meV per atom: 425

No. 5
Crystalline KMn2Pt2 at its relaxed geometry. Source: Alexandria via LeMat-Bulk, functional PBE.

The structure in POSCAR format:
```
KMn2Pt2
1.0
8.065 0.000 0.000
0.000 8.065 0.000
0.000 0.000 2.844
K Mn Pt
2 4 4
Direct
0.000 0.000 0.000
0.500 0.500 0.000
0.136 0.364 0.500
0.364 0.864 0.500
0.636 0.136 0.500
0.864 0.636 0.500
0.152 0.652 0.000
0.348 0.152 0.000
0.652 0.848 0.000
0.848 0.348 0.000
```

Output
Offset from the most stable computed form in meV per atom: 0
Total energy in eV/atom: -6.37
E_form in meV per atom: -67

No. 6
Crystalline KMn4Pt at its relaxed geometry. Source: Alexandria via LeMat-Bulk, functional PBE.

The structure in POSCAR format:
```
KMn4Pt
1.0
0.000 3.805 3.805
3.805 0.000 3.805
3.805 3.805 0.000
K Mn Pt
1 4 1
Direct
0.000 0.000 0.000
0.133 0.622 0.622
0.622 0.133 0.622
0.622 0.622 0.133
0.622 0.622 0.622
0.250 0.250 0.250
```

Output
Total energy in eV/atom: -6.54
E_form in meV per atom: 767